DFT (PBE) results for a relaxed structure of Ni4Ag.

## Properties
- space group = Pm-3m, No. 221
- spin magnetization (μB per formula unit) = 2.90
- energy above the lowest structure with this stoichiometry (eV/f.u.) = 7.75

Structure (CIF):
```
data_Ni4Ag
_cell_length_a 4.5740
_cell_length_b 4.5740
_cell_length_c 4.5740
_cell_angle_alpha 90.00
_cell_angle_beta 90.00
_cell_angle_gamma 90.00
_symmetry_space_group_name_H-M 'P 1'
_symmetry_Int_Tables_number 1
_symmetry_space_group_name_Hall 'P 1'
loop_
_atom_site_label
_atom_site_fract_x
_atom_site_fract_y
_atom_site_fract_z
_atom_site_occupancy
Ni1 0.0000 0.0000 0.0000 1
Ni2 0.0000 0.5000 0.5000 1
Ni3 0.5000 0.0000 0.5000 1
Ni4 0.5000 0.5000 0.0000 1
Ag1 0.5000 0.5000 0.5000 1
```